Below is a relaxed structure of La2Y6Tm, with properties calculated at the GGA-PBE level.

a b c (Å): 9.8985 17.1638 6.9953
angles (deg): 90.00 90.00 90.00
Space group Ibam (No. 72)
Unique sites:
La 0.0000 0.1667 0.2500 (multiplicity 8)
Y 0.1648 0.3350 0.0000 (multiplicity 8)
Y 0.1647 0.3358 0.5000 (multiplicity 8)
Y 0.1706 0.9996 0.0000 (multiplicity 8)
Tm 0.0000 0.5000 0.2500 (multiplicity 4)

Results
- ΔE_f: 7 kJ/mol of atoms
- Final energy: -5.831 eV per atom

Below is a relaxed structure of Sr2TmBr, with properties calculated at the GGA-PBE level.

a b c (Å): 3.8645 3.8645 35.6257
angles (deg): 90.00 90.00 120.00
Space group R-3m (No. 166, hexagonal axes)
Unique sites:
Sr 0.0000 0.0000 0.1002 (multiplicity 6)
Tm 0.0000 0.0000 0.0000 (multiplicity 3)
Br 0.0000 0.0000 0.5000 (multiplicity 3)

Results
- Formation energy (no corrections): -345 meV/atom
- Final energy: -2.722 eV per atom

Below is a relaxed structure of RbMnFe2, with properties calculated at the GGA-PBE level.

a b c (Å): 5.1684 5.1684 14.3552
angles (deg): 90.00 90.00 90.00
Space group I4_1/amd (No. 141, origin choice 2)
Unique sites:
Rb 0.0000 0.2500 0.3750 (multiplicity 4)
Mn 0.0000 0.2500 0.8750 (multiplicity 4)
Fe 0.0000 0.0000 0.0000 (multiplicity 8)

Results
- ΔE_f: 138 kJ/mol of atoms
- Final energy: -5.331 eV per atom

Below is a relaxed structure of SrH3Au, with properties calculated at the GGA-PBE level.

a b c (Å): 3.9569 3.9569 3.9569
angles (deg): 90.00 90.00 90.00
Space group Pm-3m (No. 221)
Unique sites:
Sr 0.0000 0.0000 0.0000 (multiplicity 1)
H 0.0000 0.5000 0.5000 (multiplicity 3)
Au 0.5000 0.5000 0.5000 (multiplicity 1)

Results
- Final energy: -3.298 eV per atom

Below is a relaxed structure of TaCr3Cu2S8, with properties calculated at the GGA-PBE level.

a b c (Å): 7.1301 9.9258 6.9540
angles (deg): 90.00 90.00 90.00
Space group P222_1 (No. 17)
Unique sites:
Ta 0.0009 0.0000 0.0000 (multiplicity 2)
Cr 0.2500 0.2485 0.2498 (multiplicity 4)
Cr 0.5001 0.5000 0.0000 (multiplicity 2)
Cu 0.0000 0.3896 0.7500 (multiplicity 2)
Cu 0.5000 0.1381 0.7500 (multiplicity 2)
S 0.9997 0.2471 0.0114 (multiplicity 4)
S 0.2471 0.0018 0.2502 (multiplicity 4)
S 0.2684 0.4879 0.2499 (multiplicity 4)
S 0.5001 0.2597 0.0215 (multiplicity 4)

Results
- Formation energy (no corrections): -707 meV/atom
- Final energy: -6.559 eV per atom

Below is a relaxed structure of Co2WAu, with properties calculated at the GGA-PBE level.

a b c (Å): 2.7428 2.7428 26.0132
angles (deg): 90.00 90.00 120.00
Space group R-3m (No. 166, hexagonal axes)
Unique sites:
Co 0.0000 0.0000 0.2453 (multiplicity 6)
W 0.0000 0.0000 0.5000 (multiplicity 3)
Au 0.0000 0.0000 0.0000 (multiplicity 3)

Results
- ΔE_f: 28 kJ/mol of atoms
- Final energy: -7.321 eV per atom

One value per record, in order, for DOS at the Fermi energy: 16.27; 4.19; 5.36; 0.66; 4.30; 4.45 states/eV/f.u..